1.
This record from Alexandria describes a relaxed structure of Rb3SrCa2Br9. The functional is PBE.

Properties
- Space group: No. 164
- Energy relative to the elements, uncorrected: -1.9270 eV/atom
- D(E_F): 0.000 states/eV per atom
- Theoretical density: 3.197 Mg/m³
- Calculated volume: 594 Å³ per cell

Cell: 8.1959 8.1959 10.2083 Å, 90.00 90.00 120.00°
Atoms (fractional coordinates):
Rb 0.3333 0.6667 0.7013
Rb 0.0000 0.0000 0.0000
Rb 0.6667 0.3333 0.2987
Sr 0.0000 0.0000 0.5000
Ca 0.3333 0.6667 0.1639
Ca 0.6667 0.3333 0.8361
Br 0.8322 0.1678 0.6784
Br 0.8322 0.6644 0.6784
Br 0.3356 0.1678 0.6784
Br 0.6644 0.8322 0.3216
Br 0.1678 0.3356 0.3216
Br 0.1678 0.8322 0.3216
Br 0.5000 0.0000 0.0000
Br 0.0000 0.5000 0.0000
Br 0.5000 0.5000 0.0000



2.
This record from Alexandria describes a relaxed structure of Rb2SrCaBr6. The functional is PBE.

Properties
- Space group: No. 14
- Energy relative to the elements, uncorrected: -1.9658 eV/atom
- D(E_F): 0.000 states/eV per atom
- Theoretical density: 3.379 Mg/m³
- Calculated volume: 765 Å³ per cell
- Relative energy among the computed polymorphs: 0 kJ/mol of formula units

Cell: 8.0001 8.3280 11.4780 Å, 90.00 90.20 90.00°
Atoms (fractional coordinates):
Rb 0.0214 0.9344 0.2494
Rb 0.5214 0.5656 0.7494
Rb 0.9786 0.0656 0.7506
Rb 0.4786 0.4344 0.2506
Sr 0.5000 0.0000 0.0000
Sr 0.0000 0.5000 0.5000
Ca 0.5000 0.0000 0.5000
Ca 0.0000 0.5000 0.0000
Br 0.2930 0.6984 0.0488
Br 0.7930 0.8016 0.5488
Br 0.7070 0.3016 0.9512
Br 0.2070 0.1984 0.4512
Br 0.3056 0.7098 0.4497
Br 0.8056 0.7902 0.9497
Br 0.6944 0.2902 0.5503
Br 0.1944 0.2098 0.0503
Br 0.9040 0.5262 0.2435
Br 0.4040 0.9738 0.7435
Br 0.0960 0.4738 0.7565
Br 0.5960 0.0262 0.2565



3.
This record from Alexandria describes a relaxed structure of Rb2SrCaBr6. The functional is PBE.

Properties
- Space group: No. 225
- Energy relative to the elements, uncorrected: -1.9300 eV/atom
- D(E_F): 0.000 states/eV per atom
- Theoretical density: 3.202 Mg/m³
- Calculated volume: 404 Å³ per cell
- Relative energy among the computed polymorphs: 35 kJ/mol of formula units

Cell: 8.2948 8.2948 8.2948 Å, 60.00 60.00 90.00°
Atoms (fractional coordinates):
Sr 0.0000 0.0000 0.0000
Ca 0.5000 0.5000 0.0000
Br 0.2555 0.2555 0.4890
Br 0.7445 0.7445 0.5110
Br 0.2554 0.2554 0.0000
Br 0.7446 0.7446 0.0000
Br 0.7446 0.2554 0.0000
Br 0.2554 0.7446 0.0000
Rb 0.7500 0.2500 0.5000
Rb 0.2500 0.7500 0.5000